(1)
Here is a relaxed structure of Mg2GeHPt from Alexandria via LeMat-Bulk. Energies are from PBE.

Lattice parameters (Å, degrees): 4.3984 4.3984 3.7488 90.00 90.00 90.00
Atoms (fractional coordinates):
Mg: 0.0000 0.5000 0.0000
Mg: 0.5000 0.0000 0.0000
Ge: 0.0000 0.0000 0.5000
H: 0.5000 0.5000 0.0000
Pt: 0.5000 0.5000 0.5000

=====

(2)
Here is a relaxed structure of ScTl2Pb from Alexandria via LeMat-Bulk. Energies are from PBE.

Results
Energy of formation: -0.06 eV per atom

Lattice parameters (Å, degrees): 3.8898 3.8898 7.2251 90.00 90.00 90.00
Atoms (fractional coordinates):
Sc: 0.0000 0.0000 0.0000
Tl: 0.0000 0.0000 0.4920
Tl: 0.5000 0.5000 0.2250
Pb: 0.5000 0.5000 0.7629

=====

no.,total magnetization (μB per cell),uncorrected energy (eV/atom)
1,0.00,-3.758
2,0.00,-3.750